[1]
Material: RbVRu2
Method: DFT, PBE
State: optimized geometry

## Properties
SG   Fm-3m, No. 225
ΔE_f   1.42 eV per atom
Total moment   0.38 μB/cell
Calculated total energy   -23.0 eV for the cell shown

a = 4.6047 Å, b = 4.6047 Å, c = 4.6047 Å
α = 60.00°, β = 60.00°, γ = 60.00°
Last column: nearest neighbours and their distance in Å.
Sites, in units of the cell vectors:
1 Ru 0.2500 0.2500 0.2500  4 Rb 2.82, 4 V 2.82
2 Ru 0.7500 0.7500 0.7500  4 Rb 2.82, 4 V 2.82
3 Rb 0.5000 0.5000 0.5000  8 Ru 2.82
4 V 0.0000 0.0000 0.0000  8 Ru 2.82

---

[2]
Material: RbPt2Se3
Method: DFT, PBE
State: optimized geometry

## Properties
Energy relative to the elements, uncorrected   -0.66 eV per atom
SG   R-3m, No. 166
Total moment   0.00 μB/cell
Calculated total energy   -54.9 eV for the cell shown

a = 8.1201 Å, b = 8.1201 Å, c = 8.1201 Å
α = 55.39°, β = 55.39°, γ = 55.39°
Last column: nearest neighbours and their distance in Å.
Sites, in units of the cell vectors:
1 Rb 0.8003 0.8003 0.8003  3 Pt 3.51, 3 Se 3.64
2 Rb 0.1997 0.1997 0.1997  3 Pt 3.51, 3 Se 3.64
3 Pt 0.0000 0.0000 0.0000  6 Se 2.55
4 Pt 0.5000 0.5000 0.0000  4 Se 2.48
5 Pt 0.5000 0.0000 0.5000  4 Se 2.48
6 Pt 0.0000 0.5000 0.5000  4 Se 2.48
7 Se 0.7693 0.7693 0.2824  3 Pt 2.48-2.55
8 Se 0.2824 0.7693 0.7693  3 Pt 2.48-2.55
9 Se 0.7693 0.2824 0.7693  3 Pt 2.48-2.55
10 Se 0.7176 0.2307 0.2307  3 Pt 2.48-2.55
11 Se 0.2307 0.2307 0.7176  3 Pt 2.48-2.55
12 Se 0.2307 0.7176 0.2307  3 Pt 2.48-2.55

---

[3]
Material: Rb3CdCu2Cl8
Method: DFT, PBE
State: optimized geometry

## Properties
Energy relative to the elements, uncorrected   -1.24 eV per atom
SG   P-3m1, No. 164
Total moment   1.12 μB/cell
Calculated total energy   -44.1 eV for the cell shown

a = 7.2410 Å, b = 7.2410 Å, c = 9.2954 Å
α = 90.00°, β = 90.00°, γ = 120.00°
Last column: nearest neighbours and their distance in Å.
Sites, in units of the cell vectors:
1 Rb 0.3333 0.6667 0.6334  4 Cl 3.18-3.55
2 Rb 0.6667 0.3333 0.3666  4 Cl 3.18-3.55
3 Rb 0.0000 0.0000 0.0000  6 Cl 3.68
4 Cd 0.0000 0.0000 0.5000  6 Cl 2.65
5 Cu 0.3333 0.6667 0.2095  4 Cl 2.18-2.34
6 Cu 0.6667 0.3333 0.7905  4 Cl 2.18-2.34
7 Cl 0.3333 0.6667 0.9751  1 Cu 2.18
8 Cl 0.6667 0.3333 0.0249  1 Cu 2.18
9 Cl 0.1671 0.8329 0.3248  1 Cu 2.34
10 Cl 0.8329 0.1671 0.6752  1 Cu 2.34
11 Cl 0.1671 0.3342 0.3248  1 Cu 2.34
12 Cl 0.8329 0.6658 0.6752  1 Cu 2.34
13 Cl 0.6658 0.8329 0.3248  1 Cu 2.34
14 Cl 0.3342 0.1671 0.6752  1 Cu 2.34

---

[4]
Material: La8Y3Er
Method: DFT, PBE
State: optimized geometry

## Properties
SG   Immm, No. 71
ΔE_f   0.30 eV per atom
Total moment   0.00 μB/cell
Calculated total energy   -59.7 eV for the cell shown

a = 8.8065 Å, b = 8.8064 Å, c = 8.8065 Å
α = 97.06°, β = 134.08°, γ = 100.45°
Last column: nearest neighbours and their distance in Å.
Sites, in units of the cell vectors:
1 La 0.5029 0.2239 0.2793  1 La 3.03, 1 Er 3.17
2 La 0.4971 0.7764 0.7210  1 La 3.03, 1 Er 3.17
3 La 0.0554 0.7761 0.2790  1 La 3.03, 1 Er 3.17
4 La 0.9446 0.2236 0.7207  1 La 3.03, 1 Er 3.17
5 La 0.1628 0.4118 0.2486  1 Er 3.43, 2 Y 3.46-3.80, 5 La 3.54-3.67
6 La 0.8372 0.0858 0.2489  1 Er 3.43, 2 Y 3.46-3.80, 5 La 3.54-3.67
7 La 0.8369 0.5882 0.7511  1 Er 3.43, 2 Y 3.46-3.80, 5 La 3.54-3.67
8 La 0.1631 0.9142 0.7514  1 Er 3.43, 2 Y 3.46-3.80, 5 La 3.54-3.67
9 Y 0.5000 0.7656 0.2656  10 La 3.80-4.02
10 Y 0.5000 0.2344 0.7344  10 La 3.80-4.02
11 Y 0.0000 0.5000 0.5000  8 La 3.46
12 Er 0.0000 0.0000 0.0000  8 La 3.17-3.43